P) InAs2N | GGA-PBE | relaxed Values from VASP.

Results
DOS(E_F): 0.53 states/eV per atom
Crystal system: cubic

```
&SYSTEM
  ibrav = 0, nat = 4, ntyp = 3
/
ATOMIC_SPECIES
In 114.82 In.upf
As 74.92 As.upf
N 14.01 N.upf
ATOMIC_POSITIONS crystal
In 0.0000 0.0000 0.0000
As 0.2500 0.2500 0.2500
As 0.7500 0.7500 0.7500
N 0.5000 0.5000 0.5000
CELL_PARAMETERS angstrom
0.0000 3.2785 3.2785
3.2785 0.0000 3.2785
3.2785 3.2785 0.0000
```

Q) InAs2N | GGA-PBE | relaxed Values from VASP.

Results
DOS(E_F): 0.05 states/eV per atom
Crystal system: tetragonal

```
&SYSTEM
  ibrav = 0, nat = 8, ntyp = 3
/
ATOMIC_SPECIES
In 114.82 In.upf
As 74.92 As.upf
N 14.01 N.upf
ATOMIC_POSITIONS crystal
In 0.0000 0.0000 0.0000
In 0.7500 0.2500 0.5000
As 0.2215 0.6250 0.0965
As 0.3750 0.4715 0.5965
As 0.5285 0.1250 0.9035
As 0.8750 0.7785 0.4035
N 0.2500 0.7500 0.5000
N 0.5000 0.5000 0.0000
CELL_PARAMETERS angstrom
-2.6714 2.6714 5.8826
2.6714 -2.6714 5.8826
2.6714 2.6714 -5.8826
```

Stability summary - winner: Q); margin: 662 meV/atom.

P) InAsSe2N | GGA-PBE | relaxed Values from VASP.

Results
DOS(E_F): 2.16 states/eV per atom
Crystal system: tetragonal

```
&SYSTEM
  ibrav = 0, nat = 5, ntyp = 4
/
ATOMIC_SPECIES
In 114.82 In.upf
As 74.92 As.upf
Se 78.96 Se.upf
N 14.01 N.upf
ATOMIC_POSITIONS crystal
In 0.0000 0.0000 0.0000
As 0.0000 0.0000 0.5000
Se 0.0000 0.5000 0.0000
Se 0.5000 0.0000 0.0000
N 0.5000 0.5000 0.5000
CELL_PARAMETERS angstrom
5.2561 0.0000 0.0000
0.0000 5.2561 0.0000
0.0000 0.0000 5.3714
```

Q) InAsSe2N | GGA-PBE | relaxed Values from VASP.

Results
DOS(E_F): 1.60 states/eV per atom
Crystal system: tetragonal

```
&SYSTEM
  ibrav = 0, nat = 5, ntyp = 4
/
ATOMIC_SPECIES
In 114.82 In.upf
As 74.92 As.upf
Se 78.96 Se.upf
N 14.01 N.upf
ATOMIC_POSITIONS crystal
In 0.0000 0.0000 0.0000
As 0.5000 0.5000 0.5000
Se 0.0000 0.5000 0.0000
Se 0.5000 0.0000 0.0000
N 0.0000 0.0000 0.5000
CELL_PARAMETERS angstrom
5.3184 0.0000 0.0000
0.0000 5.3184 0.0000
0.0000 0.0000 4.1309
```

R) InAsSe2N | GGA-PBE | relaxed Values from VASP.

Results
DOS(E_F): 0.73 states/eV per atom
Crystal system: tetragonal

```
&SYSTEM
  ibrav = 0, nat = 5, ntyp = 4
/
ATOMIC_SPECIES
In 114.82 In.upf
As 74.92 As.upf
Se 78.96 Se.upf
N 14.01 N.upf
ATOMIC_POSITIONS crystal
In 0.0000 0.0000 0.0000
As 0.5000 0.5000 0.0000
Se 0.0000 0.5000 0.5000
Se 0.5000 0.0000 0.5000
N 0.5000 0.5000 0.5000
CELL_PARAMETERS angstrom
4.8960 0.0000 0.0000
0.0000 4.8960 0.0000
0.0000 0.0000 4.1302
```

S) InAsSe2N | GGA-PBE | relaxed Values from VASP.

Results
DOS(E_F): 0.62 states/eV per atom
Crystal system: tetragonal

```
&SYSTEM
  ibrav = 0, nat = 5, ntyp = 4
/
ATOMIC_SPECIES
In 114.82 In.upf
As 74.92 As.upf
Se 78.96 Se.upf
N 14.01 N.upf
ATOMIC_POSITIONS crystal
In 0.0000 0.0000 0.0000
As 0.5000 0.5000 0.5000
Se 0.0000 0.5000 0.5000
Se 0.5000 0.0000 0.5000
N 0.5000 0.5000 0.0000
CELL_PARAMETERS angstrom
5.2366 0.0000 0.0000
0.0000 5.2366 0.0000
0.0000 0.0000 3.7313
```

Stability summary - winner: S); margin: 175 meV/atom.

P) InTe2AsN | GGA-PBE | relaxed Values from VASP.

Results
DOS(E_F): 0.84 states/eV per atom
Crystal system: tetragonal

```
&SYSTEM
  ibrav = 0, nat = 5, ntyp = 4
/
ATOMIC_SPECIES
In 114.82 In.upf
Te 127.60 Te.upf
As 74.92 As.upf
N 14.01 N.upf
ATOMIC_POSITIONS crystal
In 0.0000 0.0000 0.0000
Te 0.0000 0.5000 0.5000
Te 0.5000 0.0000 0.5000
As 0.5000 0.5000 0.5000
N 0.5000 0.5000 0.0000
CELL_PARAMETERS angstrom
5.8749 0.0000 0.0000
0.0000 5.8749 0.0000
0.0000 0.0000 3.6366
```

Q) InTe2AsN | GGA-PBE | relaxed Values from VASP.

Results
DOS(E_F): 1.68 states/eV per atom
Crystal system: tetragonal

```
&SYSTEM
  ibrav = 0, nat = 5, ntyp = 4
/
ATOMIC_SPECIES
In 114.82 In.upf
Te 127.60 Te.upf
As 74.92 As.upf
N 14.01 N.upf
ATOMIC_POSITIONS crystal
In 0.0000 0.0000 0.0000
Te 0.0000 0.5000 0.0000
Te 0.5000 0.0000 0.0000
As 0.5000 0.5000 0.5000
N 0.0000 0.0000 0.5000
CELL_PARAMETERS angstrom
5.7869 0.0000 0.0000
0.0000 5.7869 0.0000
0.0000 0.0000 4.0273
```

Stability summary - winner: P); margin: 480 meV/atom.

P) Na3InAs | GGA-PBE | relaxed Values from VASP.

Results
DOS(E_F): 0.84 states/eV per atom
Crystal system: cubic

```
&SYSTEM
  ibrav = 0, nat = 5, ntyp = 3
/
ATOMIC_SPECIES
Na 22.99 Na.upf
In 114.82 In.upf
As 74.92 As.upf
ATOMIC_POSITIONS crystal
Na 0.0000 0.0000 0.5000
Na 0.0000 0.5000 0.0000
Na 0.5000 0.0000 0.0000
In 0.0000 0.0000 0.0000
As 0.5000 0.5000 0.5000
CELL_PARAMETERS angstrom
5.6316 0.0000 0.0000
0.0000 5.6316 0.0000
0.0000 0.0000 5.6316
```

Q) Na3InAs | GGA-PBE | relaxed Values from VASP.

Results
DOS(E_F): 0.18 states/eV per atom
Crystal system: orthorhombic

```
&SYSTEM
  ibrav = 0, nat = 10, ntyp = 3
/
ATOMIC_SPECIES
Na 22.99 Na.upf
In 114.82 In.upf
As 74.92 As.upf
ATOMIC_POSITIONS crystal
Na 0.2492 0.0309 0.2801
Na 0.2492 0.4691 0.7183
Na 0.7177 0.4990 0.7186
Na 0.7508 0.5309 0.2817
Na 0.7508 0.9691 0.7199
Na 0.7804 0.9990 0.2814
In 0.0761 0.5000 0.0761
In 0.4240 0.0000 0.9239
As 0.1292 0.0005 0.6288
As 0.3717 0.5005 0.3712
CELL_PARAMETERS angstrom
-5.1850 4.4337 3.2242
5.1850 -4.4337 3.2242
5.1850 4.4337 -3.2242
```

Stability summary - winner: Q); margin: 663 meV/atom.

P) Na2InAs | GGA-PBE | relaxed Values from VASP.

Results
DOS(E_F): 0.52 states/eV per atom
Crystal system: tetragonal

```
&SYSTEM
  ibrav = 0, nat = 8, ntyp = 3
/
ATOMIC_SPECIES
Na 22.99 Na.upf
In 114.82 In.upf
As 74.92 As.upf
ATOMIC_POSITIONS crystal
Na 0.1016 0.6250 0.9766
Na 0.3750 0.3516 0.4766
Na 0.6484 0.1250 0.0234
Na 0.8750 0.8984 0.5234
In 0.2500 0.7500 0.5000
In 0.5000 0.5000 0.0000
As 0.0000 0.0000 0.0000
As 0.7500 0.2500 0.5000
CELL_PARAMETERS angstrom
-2.2127 2.2127 10.5576
2.2127 -2.2127 10.5576
2.2127 2.2127 -10.5576
```

Q) Na2InAs | GGA-PBE | relaxed Values from VASP.

Results
DOS(E_F): 0.33 states/eV per atom
Crystal system: tetragonal

```
&SYSTEM
  ibrav = 0, nat = 4, ntyp = 3
/
ATOMIC_SPECIES
Na 22.99 Na.upf
In 114.82 In.upf
As 74.92 As.upf
ATOMIC_POSITIONS crystal
Na 0.0000 0.5000 0.0000
Na 0.5000 0.0000 0.0000
In 0.0000 0.0000 0.5000
As 0.5000 0.5000 0.5000
CELL_PARAMETERS angstrom
4.4590 0.0000 0.0000
0.0000 4.4590 0.0000
0.0000 0.0000 4.7029
```

Stability summary - winner: Q); margin: 185 meV/atom.

P) NaIn3As | GGA-PBE | relaxed Values from VASP.

Results
DOS(E_F): 0.52 states/eV per atom
Crystal system: cubic

```
&SYSTEM
  ibrav = 0, nat = 5, ntyp = 3
/
ATOMIC_SPECIES
Na 22.99 Na.upf
In 114.82 In.upf
As 74.92 As.upf
ATOMIC_POSITIONS crystal
Na 0.0000 0.0000 0.0000
In 0.0000 0.5000 0.5000
In 0.5000 0.0000 0.5000
In 0.5000 0.5000 0.0000
As 0.5000 0.5000 0.5000
CELL_PARAMETERS angstrom
5.4893 0.0000 0.0000
0.0000 5.4893 0.0000
0.0000 0.0000 5.4893
```

Q) NaIn3As | GGA-PBE | relaxed Values from VASP.

Results
DOS(E_F): 0.79 states/eV per atom
Crystal system: cubic

```
&SYSTEM
  ibrav = 0, nat = 5, ntyp = 3
/
ATOMIC_SPECIES
Na 22.99 Na.upf
In 114.82 In.upf
As 74.92 As.upf
ATOMIC_POSITIONS crystal
Na 0.0000 0.0000 0.0000
In 0.0000 0.0000 0.5000
In 0.0000 0.5000 0.0000
In 0.5000 0.0000 0.0000
As 0.5000 0.5000 0.5000
CELL_PARAMETERS angstrom
5.4286 0.0000 0.0000
0.0000 5.4286 0.0000
0.0000 0.0000 5.4286
```

Stability summary - winner: P); margin: 446 meV/atom.

P) NaInAs3 | GGA-PBE | relaxed Values from VASP.

Results
DOS(E_F): 1.21 states/eV per atom
Crystal system: cubic

```
&SYSTEM
  ibrav = 0, nat = 5, ntyp = 3
/
ATOMIC_SPECIES
Na 22.99 Na.upf
In 114.82 In.upf
As 74.92 As.upf
ATOMIC_POSITIONS crystal
Na 0.0000 0.0000 0.0000
In 0.5000 0.5000 0.5000
As 0.0000 0.5000 0.5000
As 0.5000 0.0000 0.5000
As 0.5000 0.5000 0.0000
CELL_PARAMETERS angstrom
5.3168 0.0000 0.0000
0.0000 5.3168 0.0000
0.0000 0.0000 5.3168
```

Q) NaInAs3 | GGA-PBE | relaxed Values from VASP.

Results
DOS(E_F): 1.09 states/eV per atom
Crystal system: cubic

```
&SYSTEM
  ibrav = 0, nat = 5, ntyp = 3
/
ATOMIC_SPECIES
Na 22.99 Na.upf
In 114.82 In.upf
As 74.92 As.upf
ATOMIC_POSITIONS crystal
Na 0.0000 0.0000 0.0000
In 0.5000 0.5000 0.5000
As 0.0000 0.0000 0.5000
As 0.0000 0.5000 0.0000
As 0.5000 0.0000 0.0000
CELL_PARAMETERS angstrom
5.0829 0.0000 0.0000
0.0000 5.0829 0.0000
0.0000 0.0000 5.0829
```

Stability summary - winner: P); margin: 294 meV/atom.

P) Nb3InAs | GGA-PBE | relaxed Values from VASP.

Results
DOS(E_F): 1.40 states/eV per atom
Crystal system: cubic

```
&SYSTEM
  ibrav = 0, nat = 5, ntyp = 3
/
ATOMIC_SPECIES
Nb 92.91 Nb.upf
In 114.82 In.upf
As 74.92 As.upf
ATOMIC_POSITIONS crystal
Nb 0.0000 0.0000 0.5000
Nb 0.0000 0.5000 0.0000
Nb 0.5000 0.0000 0.0000
In 0.0000 0.0000 0.0000
As 0.5000 0.5000 0.5000
CELL_PARAMETERS angstrom
5.0265 0.0000 0.0000
0.0000 5.0265 0.0000
0.0000 0.0000 5.0265
```

Q) Nb3InAs | GGA-PBE | relaxed Values from VASP.

Results
DOS(E_F): 1.82 states/eV per atom
Crystal system: cubic

```
&SYSTEM
  ibrav = 0, nat = 5, ntyp = 3
/
ATOMIC_SPECIES
Nb 92.91 Nb.upf
In 114.82 In.upf
As 74.92 As.upf
ATOMIC_POSITIONS crystal
Nb 0.0000 0.0000 0.5000
Nb 0.0000 0.5000 0.0000
Nb 0.5000 0.0000 0.0000
In 0.5000 0.5000 0.5000
As 0.0000 0.0000 0.0000
CELL_PARAMETERS angstrom
4.7862 0.0000 0.0000
0.0000 4.7862 0.0000
0.0000 0.0000 4.7862
```

Stability summary - winner: Q); margin: 1333 meV/atom.